No. 1
VASP calculation (GGA-PBE) on a relaxed Ac3Pr4Sn4 crystal.

a b c (Å): 10.5933 10.5933 10.5933
angles (deg): 155.55 126.82 59.36
Fractional positions:
Ac (0.0000, 0.0000, 0.0000)
Ac (0.3993, 0.8993, 0.5000)
Ac (0.6007, 0.1007, 0.5000)
Pr (0.0113, 0.3287, 0.6826)
Pr (0.3538, 0.6713, 0.6826)
Pr (0.6462, 0.3287, 0.3174)
Pr (0.9887, 0.6713, 0.3174)
Sn (0.2599, 0.2599, 0.0000)
Sn (0.2801, 0.5000, 0.7801)
Sn (0.7199, 0.5000, 0.2199)
Sn (0.7401, 0.7401, 0.0000)

The symmetry is No. 71. The formation energy is -0.555 eV/atom. The value obtained for the total energy is -53.6 eV for the cell shown. The calculation puts the calculated density at 7293 kg/m³. Its calculated volume is 391.5 Å³/cell.


No. 2
VASP calculation (GGA-PBE) on a relaxed SnHOs crystal.

a b c (Å): 5.0944 6.4411 6.5937
angles (deg): 117.08 98.21 95.64
Fractional positions:
Sn (0.0000, 0.0000, 0.0000)
Sn (0.1423, 0.4980, 0.6813)
Sn (0.3718, 0.9505, 0.5536)
Sn (0.5797, 0.2567, 0.2390)
H (0.1840, 0.4191, 0.1253)
H (0.5991, 0.6642, 0.6571)
H (0.7396, 0.8299, 0.1825)
H (0.8157, 0.1953, 0.6178)
Os (0.4632, 0.6080, 0.1258)
Os (0.6312, 0.4086, 0.7186)
Os (0.8483, 0.7386, 0.5311)
Os (0.9757, 0.6276, 0.1273)

The energy above the most stable polymorph in this dataset is 109 meV/atom. The symmetry is No. 1. The value obtained for the total energy is -70.5 eV for the cell shown. The calculation puts the calculated density at 10988 kg/m³. Its calculated volume is 187.4 Å³/cell.


No. 3
VASP calculation (GGA-PBE) on a relaxed ZrRe2Se crystal.

a b c (Å): 5.0565 5.0565 4.8836
angles (deg): 106.57 106.57 36.08
Fractional positions:
Zr (0.0000, 0.0000, 0.0000)
Re (0.2238, 0.2238, 0.6116)
Re (0.5010, 0.5010, 0.5132)
Se (0.7654, 0.7654, 0.2239)

The symmetry is No. 8. The value obtained for the formation energy (no corrections) is 0.0986 eV/atom. The value obtained for the total energy is -36.5 eV for the cell shown. The calculation puts the calculated density at 12844 kg/m³. Its calculated volume is 70.1 Å³/cell.


No. 4
VASP calculation (GGA-PBE) on a relaxed PrNdMnN4 crystal.

a b c (Å): 5.6714 5.4300 7.0350
angles (deg): 90.00 108.43 90.00
Fractional positions:
Pr (0.2171, 0.2500, 0.4336)
Pr (0.7829, 0.7500, 0.5664)
Nd (0.2868, 0.2500, 0.9589)
Nd (0.7132, 0.7500, 0.0411)
Mn (0.2684, 0.7500, 0.2030)
Mn (0.7316, 0.2500, 0.7970)
N (0.0716, 0.7500, 0.3514)
N (0.1108, 0.7500, 0.9497)
N (0.4722, 0.5047, 0.2605)
N (0.4722, 0.9953, 0.2605)
N (0.5278, 0.0047, 0.7395)
N (0.5278, 0.4953, 0.7395)
N (0.8892, 0.2500, 0.0503)
N (0.9284, 0.2500, 0.6486)

The symmetry is No. 11. The value obtained for the formation energy (no corrections) is -0.8594 eV/atom. The value obtained for the total energy is -116.1 eV for the cell shown. The calculation puts the calculated density at 6400 kg/m³. Its calculated volume is 205.5 Å³/cell.


No. 5
VASP calculation (GGA-PBE) on a relaxed Pr3ThSn12 crystal.

a b c (Å): 4.8066 4.8066 18.8937
angles (deg): 90.00 90.00 90.00
Fractional positions:
Pr (0.0000, 0.0000, 0.0000)
Pr (0.0000, 0.0000, 0.2528)
Pr (0.0000, 0.0000, 0.7472)
Th (0.0000, 0.0000, 0.5000)
Sn (0.0000, 0.5000, 0.1260)
Sn (0.0000, 0.5000, 0.3765)
Sn (0.0000, 0.5000, 0.6235)
Sn (0.0000, 0.5000, 0.8740)
Sn (0.5000, 0.0000, 0.1260)
Sn (0.5000, 0.0000, 0.3765)
Sn (0.5000, 0.0000, 0.6235)
Sn (0.5000, 0.0000, 0.8740)
Sn (0.5000, 0.5000, 0.0000)
Sn (0.5000, 0.5000, 0.2503)
Sn (0.5000, 0.5000, 0.5000)
Sn (0.5000, 0.5000, 0.7497)

The symmetry is No. 123. The formation energy is -0.494 eV/atom. The value obtained for the total energy is -77.7 eV for the cell shown. The calculation puts the calculated density at 7910 kg/m³. Its calculated volume is 436.5 Å³/cell.


No. 6
VASP calculation (GGA-PBE) on a relaxed LaRu2Au crystal.

a b c (Å): 3.5201 3.5201 6.2468
angles (deg): 90.00 90.00 90.00
Fractional positions:
La (0.0000, 0.0000, 0.0000)
Ru (0.5000, 0.5000, 0.2887)
Ru (0.5000, 0.5000, 0.7113)
Au (0.0000, 0.0000, 0.5000)

The energy above the most stable polymorph in this dataset is 240 meV/atom. The symmetry is No. 123. The formation energy is 0.324 eV/atom. The value obtained for the total energy is -25.5 eV for the cell shown. The calculation puts the calculated density at 11542 kg/m³. Its calculated volume is 77.4 Å³/cell.


Repeat the sixth record exactly.
VASP calculation (GGA-PBE) on a relaxed LaRu2Au crystal.

a b c (Å): 3.5201 3.5201 6.2468
angles (deg): 90.00 90.00 90.00
Fractional positions:
La (0.0000, 0.0000, 0.0000)
Ru (0.5000, 0.5000, 0.2887)
Ru (0.5000, 0.5000, 0.7113)
Au (0.0000, 0.0000, 0.5000)

The energy above the most stable polymorph in this dataset is 240 meV/atom. The symmetry is No. 123. The formation energy is 0.324 eV/atom. The value obtained for the total energy is -25.5 eV for the cell shown. The calculation puts the calculated density at 11542 kg/m³. Its calculated volume is 77.4 Å³/cell.


- What is the calculated density in the fourth record?
  6400 kg/m³


- What is the calculated density in the third record?
  12844 kg/m³


Please write out number 1 again, unchanged.
VASP calculation (GGA-PBE) on a relaxed Ac3Pr4Sn4 crystal.

a b c (Å): 10.5933 10.5933 10.5933
angles (deg): 155.55 126.82 59.36
Fractional positions:
Ac (0.0000, 0.0000, 0.0000)
Ac (0.3993, 0.8993, 0.5000)
Ac (0.6007, 0.1007, 0.5000)
Pr (0.0113, 0.3287, 0.6826)
Pr (0.3538, 0.6713, 0.6826)
Pr (0.6462, 0.3287, 0.3174)
Pr (0.9887, 0.6713, 0.3174)
Sn (0.2599, 0.2599, 0.0000)
Sn (0.2801, 0.5000, 0.7801)
Sn (0.7199, 0.5000, 0.2199)
Sn (0.7401, 0.7401, 0.0000)

The symmetry is No. 71. The formation energy is -0.555 eV/atom. The value obtained for the total energy is -53.6 eV for the cell shown. The calculation puts the calculated density at 7293 kg/m³. Its calculated volume is 391.5 Å³/cell.